# 1
First-principles (PBEsol) data for an optimized crystal structure of ScCoSb2, as listed in Alexandria.

Geometry as extended XYZ:
```
4
Lattice="3.187 0.000 0.000 0.000 3.988 0.000 -1.594 -1.994 6.195" Properties=species:S:1:pos:R:3 pbc="T T T"
Sb 1.594 0.000 2.760
Sb 1.594 1.994 5.475
Sc 1.594 1.994 0.704
Co 0.000 1.994 3.451
```

Symmetry: Imm2 (44)

# 2
First-principles (PBEsol) data for an optimized crystal structure of CoNi2Mo, as listed in Alexandria.

Geometry as extended XYZ:
```
4
Lattice="-1.409 2.985 -1.349 -2.941 -1.799 -0.909 0.736 0.159 4.296" Properties=species:S:1:pos:R:3 pbc="T T T"
Mo -1.424 1.869 0.909
Ni -2.190 -0.523 1.129
Ni -2.175 0.593 -1.129
Co 0.000 0.000 0.000
```

ΔE_f in meV per atom: -80
Symmetry: I-4m2 (119)
Relative energy among the computed polymorphs in kcal/mol of atoms: 0.000

# 3
First-principles (PBEsol) data for an optimized crystal structure of GaFeS2, as listed in Alexandria.

Geometry as extended XYZ:
```
4
Lattice="3.186 0.000 0.000 1.593 2.760 0.000 1.593 0.920 7.737" Properties=species:S:1:pos:R:3 pbc="T T T"
Ga 0.000 0.000 0.000
S 1.593 0.920 5.122
Fe 3.186 1.840 3.869
S 4.780 2.760 2.615
```

Symmetry: R-3m (166)

Calculated total energy / eV for the cell shown: -24.794, -32.140, -22.242
Density / g/cm3: 7.33, 9.99, 4.63